Density functional theory data (GGA-PBE) for an optimized crystal structure of Ce2Th3Sc3.

The space-group type is Pmmm (47). For the total energy, the calculation gives -52.60 eV per cell. The calculation puts the energy of formation at 0.0656 eV per atom.

Cell lengths 4.8971, 4.9002, 9.4932 Å; angles 90.00, 90.00, 90.00 degrees
Closest atoms and distances in Å follow each position.
Atoms (fractional coordinates):
Ce 0.0000 0.0000 0.2471  6 Sc 3.39-3.46, 6 Th 3.39-3.43
Ce 0.0000 0.0000 0.7529  6 Sc 3.39-3.46, 6 Th 3.39-3.43
Th 0.0000 0.5000 0.0000  4 Ce 3.39, 8 Sc 3.43-3.46
Th 0.0000 0.5000 0.5000  4 Sc 3.39, 4 Ce 3.43, 4 Th 3.46
Th 0.5000 0.0000 0.5000  4 Sc 3.39, 4 Ce 3.43, 4 Th 3.46
Sc 0.5000 0.0000 0.0000  4 Ce 3.39, 4 Sc 3.43, 4 Th 3.46
Sc 0.5000 0.5000 0.2535  6 Th 3.39-3.43, 2 Sc 3.43, 4 Ce 3.46
Sc 0.5000 0.5000 0.7465  6 Th 3.39-3.43, 2 Sc 3.43, 4 Ce 3.46